Compound: La2PtCl
Source: Alexandria
Functional: GGA-PBE
Structure: relaxed

## Properties
energy relative to the elements, uncorrected	-0.463	eV per atom
relative energy among the computed polymorphs	982	meV/atom
space group	F-43m, No. 216
total magnetic moment	0.000	μB/atom

a b c (Å): 5.1314 5.1314 5.1314
angles (deg): 60.00 60.00 60.00
Fractional coordinates of all 4 atoms:
La: 0.0000 0.0000 0.0000
La: 0.2500 0.2500 0.2500
Cl: 0.5000 0.5000 0.5000
Pt: 0.7500 0.7500 0.7500